Record 1
Entry from Alexandria via LeMat-Bulk: crystalline CaNd12Tm3 at its relaxed geometry (PBE).

The calculation puts the volume at 551 Å³ per cell. As for the total magnetization: 0.0000 μB per atom. The value obtained for the formation enthalpy at 0 K is 40 kJ/mol of formula units. Its crystal system is tetragonal. For the total energy, the calculation gives -72.22 eV per formula unit.

It has space group P4/mmm (No. 123), with a = 5.166 Å, b = 5.166 Å, c = 20.643 Å, α = 90.00°, β = 90.00° and γ = 90.00°. The distinct sites, in fractional coordinates, are Ca at (0.000, 0.000, 0.000), Nd at (0.000, 0.500, 0.130), Nd at (0.000, 0.500, 0.376), Nd at (0.500, 0.500, 0.000), Nd at (0.500, 0.500, 0.252), Nd at (0.500, 0.500, 0.500), Tm at (0.000, 0.000, 0.252) and Tm at (0.000, 0.000, 0.500).

Record 2
Entry from Alexandria via LeMat-Bulk: crystalline CaNd2Tm at its relaxed geometry (PBE).

The calculation puts the volume at 429 Å³ per cell. As for the total magnetization: 0.0000 μB per atom. The value obtained for the formation enthalpy at 0 K is 51 kJ/mol of formula units. Its crystal system is trigonal. For the total energy, the calculation gives -15.48 eV per formula unit.

It has space group R-3m (No. 166, hexagonal axes), with a = 3.5917 Å, b = 3.5917 Å, c = 38.4440 Å, α = 90.00°, β = 90.00° and γ = 120.00°. The distinct sites, in fractional coordinates, are Ca at (0.0000, 0.0000, 0.0000), Nd at (0.0000, 0.0000, 0.0922) and Tm at (0.0000, 0.0000, 0.5000).

Record 3
Entry from Alexandria via LeMat-Bulk: crystalline Ca2Nd4Tm at its relaxed geometry (PBE).

The calculation puts the volume at 598 Å³ per cell. As for the total magnetization: 0.0128 μB per atom. The value obtained for the formation enthalpy at 0 K is 393 kJ/mol of formula units. Its crystal system is tetragonal. For the total energy, the calculation gives -23.48 eV per formula unit.

It has space group I4/mmm (No. 139), with a = 5.766 Å, b = 5.766 Å, c = 17.994 Å, α = 90.00°, β = 90.00° and γ = 90.00°. The distinct sites, in fractional coordinates, are Ca at (0.000, 0.000, 0.127), Nd at (0.000, 0.000, 0.328), Nd at (0.000, 0.500, 0.000) and Tm at (0.000, 0.000, 0.500).

Record 4
Entry from Alexandria via LeMat-Bulk: crystalline CaNd8Tm4 at its relaxed geometry (PBE).

The calculation puts the volume at 882 Å³ per cell. As for the total magnetization: 0.0000 μB per atom. The value obtained for the formation enthalpy at 0 K is 52 kJ/mol of formula units. Its crystal system is monoclinic. For the total energy, the calculation gives -57.49 eV per formula unit.

It has space group C2/m (No. 12), with a = 11.474 Å, b = 5.145 Å, c = 14.975 Å, α = 90.00°, β = 93.98° and γ = 90.00°. The distinct sites, in fractional coordinates, are Ca at (0.000, 0.000, 0.000), Nd at (0.040, 0.500, 0.386), Nd at (0.076, 0.000, 0.765), Nd at (0.193, 0.500, 0.920), Nd at (0.234, 0.000, 0.311), Tm at (0.121, 0.500, 0.159) and Tm at (0.152, 0.000, 0.537).

Record 5
Entry from Alexandria via LeMat-Bulk: crystalline CaNd12Tm6 at its relaxed geometry (PBE).

The calculation puts the volume at 1990 Å³ per cell. As for the total magnetization: 0.0000 μB per atom. The value obtained for the formation enthalpy at 0 K is 590 kJ/mol of formula units. Its crystal system is trigonal. For the total energy, the calculation gives -79.93 eV per formula unit.

It has space group R-3m (No. 166, hexagonal axes), with a = 16.3556 Å, b = 16.3556 Å, c = 8.5915 Å, α = 90.00°, β = 90.00° and γ = 120.00°. The distinct sites, in fractional coordinates, are Ca at (0.0000, 0.0000, 0.0000), Nd at (0.0000, 0.3784, 0.5000), Nd at (0.0972, 0.5486, 0.8339) and Tm at (0.0907, 0.1815, 0.6247).

Record 6
Entry from Alexandria via LeMat-Bulk: crystalline CaNd4Tm5 at its relaxed geometry (PBE).

The calculation puts the volume at 712 Å³ per cell. As for the total magnetization: 0.0000 μB per atom. The value obtained for the formation enthalpy at 0 K is 246 kJ/mol of formula units. Its crystal system is monoclinic. For the total energy, the calculation gives -40.88 eV per formula unit.

It has space group C2/m (No. 12), with a = 17.695 Å, b = 3.577 Å, c = 11.608 Å, α = 90.00°, β = 104.38° and γ = 90.00°. The distinct sites, in fractional coordinates, are Ca at (0.000, 0.000, 0.000), Nd at (0.020, 0.500, 0.748), Nd at (0.189, 0.000, 0.728), Tm at (0.000, 0.000, 0.500), Tm at (0.164, 0.500, 0.443) and Tm at (0.170, 0.500, 0.993).

Record 7
Entry from Alexandria via LeMat-Bulk: crystalline CaNd3Y6Tm2 at its relaxed geometry (PBE).

The calculation puts the volume at 798 Å³ per cell. As for the total magnetization: 0.0001 μB per atom. The value obtained for the formation enthalpy at 0 K is 65 kJ/mol of formula units. Its crystal system is monoclinic. For the total energy, the calculation gives -63.35 eV per formula unit.

It has space group C2/m (No. 12), with a = 6.266 Å, b = 10.852 Å, c = 11.916 Å, α = 90.00°, β = 100.09° and γ = 90.00°. The distinct sites, in fractional coordinates, are Ca at (0.000, 0.000, 0.000), Nd at (0.000, 0.165, 0.500), Nd at (0.000, 0.500, 0.500), Y at (0.244, 0.500, 0.249), Y at (0.247, 0.330, 0.751) and Tm at (0.000, 0.333, 0.000).

Record 8
Entry from Alexandria via LeMat-Bulk: crystalline CaNd2Y4Tm at its relaxed geometry (PBE).

The calculation puts the volume at 1112 Å³ per cell. As for the total magnetization: 0.2173 μB per atom. The value obtained for the formation enthalpy at 0 K is 324 kJ/mol of formula units. Its crystal system is monoclinic. For the total energy, the calculation gives -38.50 eV per formula unit.

It has space group C2/c (No. 15), with a = 13.853 Å, b = 13.449 Å, c = 6.874 Å, α = 90.00°, β = 119.72° and γ = 90.00°. The distinct sites, in fractional coordinates, are Ca at (0.000, 0.000, 0.000), Nd at (0.000, 0.500, 0.000), Nd at (0.250, 0.250, 0.000), Y at (0.000, 0.251, 0.002), Y at (0.236, 0.496, 0.485) and Tm at (0.250, 0.250, 0.500).

Record 9
Entry from Alexandria via LeMat-Bulk: crystalline CaNd6YTm2 at its relaxed geometry (PBE).

The calculation puts the volume at 1393 Å³ per cell. As for the total magnetization: 0.0000 μB per atom. The value obtained for the formation enthalpy at 0 K is 128 kJ/mol of formula units. Its crystal system is monoclinic. For the total energy, the calculation gives -44.69 eV per formula unit.

It has space group C2/c (No. 15), with a = 9.204 Å, b = 15.512 Å, c = 9.866 Å, α = 90.00°, β = 98.45° and γ = 90.00°. The distinct sites, in fractional coordinates, are Ca at (0.000, 0.098, 0.250), Nd at (0.061, 0.325, 0.448), Nd at (0.105, 0.104, 0.623), Nd at (0.203, 0.269, 0.823), Y at (0.000, 0.473, 0.750) and Tm at (0.247, 0.449, 0.043).

Record 10
Entry from Alexandria via LeMat-Bulk: crystalline CaNdTmZn at its relaxed geometry (PBE).

The calculation puts the volume at 117 Å³ per cell. As for the total magnetization: 0.0000 μB per atom. The value obtained for the formation enthalpy at 0 K is -50 kJ/mol of formula units. Its crystal system is tetragonal. For the total energy, the calculation gives -13.03 eV per formula unit.

It has space group P4mm (No. 99), with a = 3.570 Å, b = 3.570 Å, c = 9.203 Å, α = 90.00°, β = 90.00° and γ = 90.00°. The distinct sites, in fractional coordinates, are Ca at (0.000, 0.000, 0.000), Nd at (0.500, 0.500, 0.670), Tm at (0.000, 0.000, 0.395) and Zn at (0.500, 0.500, 0.215).

Record 11
Entry from Alexandria via LeMat-Bulk: crystalline CaNd2V at its relaxed geometry (PBE).

The calculation puts the volume at 378 Å³ per cell. As for the total magnetization: 0.7031 μB per atom. The value obtained for the formation enthalpy at 0 K is 269 kJ/mol of formula units. Its crystal system is trigonal. For the total energy, the calculation gives -17.87 eV per formula unit.

It has space group R-3m (No. 166, hexagonal axes), with a = 3.4660 Å, b = 3.4660 Å, c = 36.3118 Å, α = 90.00°, β = 90.00° and γ = 120.00°. The distinct sites, in fractional coordinates, are Ca at (0.0000, 0.0000, 0.0000), Nd at (0.0000, 0.0000, 0.4229) and V at (0.0000, 0.0000, 0.5000).

Record 12
Entry from Alexandria via LeMat-Bulk: crystalline Ca2Nd8Y3 at its relaxed geometry (PBE).

The calculation puts the volume at 940 Å³ per cell. As for the total magnetization: 0.0000 μB per atom. The value obtained for the formation enthalpy at 0 K is 224 kJ/mol of formula units. Its crystal system is monoclinic. For the total energy, the calculation gives -59.21 eV per formula unit.

It has space group P2_1/c (No. 14), with a = 6.892 Å, b = 17.921 Å, c = 7.957 Å, α = 90.00°, β = 106.96° and γ = 90.00°. The distinct sites, in fractional coordinates, are Ca at (0.168, 0.117, 0.255), Nd at (0.152, 0.115, 0.815), Nd at (0.155, 0.736, 0.049), Nd at (0.371, 0.579, 0.362), Nd at (0.399, 0.573, 0.835), Y at (0.000, 0.000, 0.500) and Y at (0.403, 0.246, 0.588).